First-principles (GGA-PBE) data for a relaxed structure of PmGdNiAs, as listed in Alexandria.

Cell lengths 7.076, 7.076, 7.076 Å; angles 90.00, 90.00, 90.00 degrees
Space group F-43m (No. 216)
Inequivalent atoms, fractional coordinates:
Pm: 0.000 0.000 0.000 (multiplicity 4)
Gd: 0.000 0.000 0.500 (multiplicity 4)
Ni: 0.250 0.250 0.250 (multiplicity 4)
As: 0.250 0.250 0.750 (multiplicity 4)

Calculated values
- Raw total energy: -7.9439 eV per atom
- E_form: -0.628 eV/atom